No. 1
Material: LaCo3Re
Method: DFT, SCAN
State: PBEsol geometry

```
5
Lattice="4.3475 0.0000 0.0000 0.0000 4.3475 0.0000 0.0000 0.0000 4.3475" Properties=species:S:1:pos:R:3 pbc="T T T"
La 0.0000 0.0000 0.0000
Co 0.0000 0.0000 2.1738
Co 0.0000 2.1738 0.0000
Co 2.1738 0.0000 0.0000
Re 2.1738 2.1738 2.1738
```

Results
- SG: Pm-3m (221)
- Electronic total energy: -1.1412 hartree per atom
- DFT formation energy: 2.169 eV/atom
- Magnetic moment: 5.31 μB/f.u.
- Calculated volume: 16.43 A^3/atom

***

No. 2
Material: LaZn2Pd2
Method: DFT, SCAN
State: PBEsol geometry

```
10
Lattice="4.0191 0.0000 0.0000 0.0000 4.0191 0.0000 0.0000 0.0000 11.6262" Properties=species:S:1:pos:R:3 pbc="T T T"
La 0.0000 0.0000 0.0000
La 2.0096 2.0096 5.8131
Zn 0.0000 2.0096 2.9065
Zn 0.0000 2.0096 8.7196
Zn 2.0096 0.0000 2.9065
Zn 2.0096 0.0000 8.7196
Pd 0.0000 0.0000 4.4822
Pd 0.0000 0.0000 7.1439
Pd 2.0096 2.0096 1.3309
Pd 2.0096 2.0096 10.2953
```

Results
- SG: I4/mmm (139)
- Electronic total energy: -1.0223 hartree per atom
- DFT formation energy: -0.682 eV/atom
- Magnetic moment: 0.00 μB/f.u.
- Calculated volume: 18.78 A^3/atom

***

No. 3
Material: GdMgZn2
Method: DFT, SCAN
State: PBEsol geometry

```
16
Lattice="6.7678 0.0000 0.0000 0.0000 6.7678 0.0000 0.0000 0.0000 6.7678" Properties=species:S:1:pos:R:3 pbc="T T T"
Gd 0.0000 0.0000 0.0000
Gd 0.0000 3.3839 3.3839
Gd 3.3839 0.0000 3.3839
Gd 3.3839 3.3839 0.0000
Mg 0.0000 0.0000 3.3839
Mg 0.0000 3.3839 0.0000
Mg 3.3839 0.0000 0.0000
Mg 3.3839 3.3839 3.3839
Zn 1.6919 1.6919 1.6919
Zn 1.6919 1.6919 5.0758
Zn 1.6919 5.0758 1.6919
Zn 1.6919 5.0758 5.0758
Zn 5.0758 1.6919 1.6919
Zn 5.0758 1.6919 5.0758
Zn 5.0758 5.0758 1.6919
Zn 5.0758 5.0758 5.0758
```

Results
- SG: Fm-3m (225)
- Electronic total energy: -0.8480 hartree per atom
- DFT formation energy: -0.371 eV/atom
- Magnetic moment: 7.26 μB/f.u.
- Calculated volume: 19.37 A^3/atom

***

No. 4
Material: CrPtSe2
Method: DFT, SCAN
State: PBEsol geometry

```
12
Lattice="3.8251 0.0000 0.0000 -1.9125 3.3126 0.0000 0.0000 0.0000 18.9136" Properties=species:S:1:pos:R:3 pbc="T T T"
Cr 0.0000 0.0000 0.0000
Cr 0.0000 2.2084 12.6091
Cr 1.9125 1.1042 6.3045
Pt 0.0000 0.0000 14.1873
Pt 0.0000 2.2084 7.8827
Pt 1.9125 1.1042 1.5782
Se 0.0000 0.0000 5.2051
Se 0.0000 0.0000 8.7999
Se 0.0000 2.2084 2.4953
Se 0.0000 2.2084 17.8142
Se 1.9125 1.1042 11.5097
Se 1.9125 1.1042 15.1044
```

Results
- Polymorph energy (0 for the lowest one): 0 meV per atom
- SG: R3m (160)
- E_form (uncorrected): -0.38 eV per atom
- Electronic total energy: -1.1966 hartree per atom
- Magnetic moment: 3.22 μB/f.u.
- Calculated volume: 19.97 A^3/atom

***

No. 5
Material: CoSnCl2
Method: DFT, SCAN
State: PBEsol geometry

```
12
Lattice="3.2748 0.0000 0.0000 -1.6374 2.8361 0.0000 0.0000 0.0000 26.9174" Properties=species:S:1:pos:R:3 pbc="T T T"
Co 0.0000 0.0000 0.0000
Co 0.0000 1.8907 17.9449
Co 1.6374 0.9454 8.9725
Sn 0.0000 0.0000 13.4587
Sn 0.0000 1.8907 4.4862
Sn 1.6374 0.9454 22.4312
Cl 0.0000 0.0000 2.0950
Cl 0.0000 0.0000 24.8224
Cl 0.0000 1.8907 15.8499
Cl 0.0000 1.8907 20.0399
Cl 1.6374 0.9454 6.8774
Cl 1.6374 0.9454 11.0675
```

Results
- SG: R-3m (166)
- E_form (uncorrected): -0.25 eV per atom
- Electronic total energy: -0.6447 hartree per atom
- Magnetic moment: 2.14 μB/f.u.
- Calculated volume: 20.83 A^3/atom

***

No. 6
Material: Be3P2
Method: DFT, SCAN
State: PBEsol geometry

```
10
Lattice="0.0000 10.5830 1.2463 4.2866 0.0000 1.2463 4.2866 10.5830 0.0000" Properties=species:S:1:pos:R:3 pbc="T T T"
Be 0.0000 0.0000 0.0000
Be 2.1433 5.2915 0.6231
Be 3.6968 8.5590 1.3504
Be 4.8764 12.6069 1.3504
Be 7.0197 13.8504 1.9736
Be 5.8401 17.8984 1.9736
P 2.7003 1.3685 0.7453
P 4.8436 3.9230 1.3684
P 1.5863 9.2145 0.7453
P 3.7296 17.2429 1.3684
```

Results
- SG: Fdd2 (43)
- Electronic total energy: -0.2372 hartree per atom
- DFT formation energy: 0.318 eV/atom
- Magnetic moment: 0.02 μB/f.u.
- Calculated volume: 11.31 A^3/atom

***

No. 7
Material: ReMo3
Method: DFT, SCAN
State: PBEsol geometry

```
12
Lattice="2.7668 0.0000 0.0000 -1.3834 2.3962 0.0000 0.0000 0.0000 27.6707" Properties=species:S:1:pos:R:3 pbc="T T T"
Re 0.0000 0.0000 0.0000
Re 0.0000 1.5974 18.4471
Re 1.3834 0.7987 9.2235
Mo 0.0000 0.0000 6.9852
Mo 0.0000 0.0000 13.8353
Mo 0.0000 0.0000 20.6855
Mo 0.0000 1.5974 4.6118
Mo 0.0000 1.5974 11.4619
Mo 0.0000 1.5974 25.4323
Mo 1.3834 0.7987 2.2384
Mo 1.3834 0.7987 16.2087
Mo 1.3834 0.7987 23.0589
```

Results
- SG: R-3m (166)
- Electronic total energy: -1.6022 hartree per atom
- DFT formation energy: 0.340 eV/atom
- Magnetic moment: 0.00 μB/f.u.
- Calculated volume: 15.29 A^3/atom

***

No. 8
Material: Tc2MoRh
Method: DFT, SCAN
State: PBEsol geometry

```
8
Lattice="3.8366 0.0000 0.0000 0.0000 3.8366 0.0000 0.0000 0.0000 7.6717" Properties=species:S:1:pos:R:3 pbc="T T T"
Tc 0.0000 0.0000 0.0000
Tc 0.0000 1.9183 1.9179
Tc 1.9183 0.0000 5.7538
Tc 1.9183 1.9183 3.8359
Mo 0.0000 1.9183 5.7538
Mo 1.9183 0.0000 1.9179
Rh 0.0000 0.0000 3.8359
Rh 1.9183 1.9183 0.0000
```

Results
- Polymorph energy (0 for the lowest one): 18 meV per atom
- SG: I-4m2 (119)
- Electronic total energy: -1.2767 hartree per atom
- DFT formation energy: -0.047 eV/atom
- Magnetic moment: 0.00 μB/f.u.
- Calculated volume: 14.12 A^3/atom

***

- Among the records above, which one has the highest electronic total energy?
  Be3P2

***

- Look up the electronic total energy of the seventh one.
  -1.6022 hartree per atom

***

- The highest calculated volume belongs to which entry?
  CoSnCl2